Model i:
First-principles (PBE) data for an optimized crystal structure of BI, as listed in Alexandria via LeMat-Bulk.

- symmetry = F-43m, No. 216
- D(E_F) (states/eV/atom) = 0.003
- crystal system = cubic

POSCAR file:
```
BI
1.0
6.359 0.000 0.000
0.000 6.359 0.000
0.000 0.000 6.359
B I
4 4
Cartesian
1.590 1.590 1.590 B
1.590 4.770 4.770 B
4.770 1.590 4.770 B
4.770 4.770 1.590 B
0.000 0.000 0.000 I
0.000 3.180 3.180 I
3.180 0.000 3.180 I
3.180 3.180 0.000 I
```

---

Model ii:
First-principles (PBE) data for an optimized crystal structure of BI, as listed in Alexandria via LeMat-Bulk.

- symmetry = P4/m, No. 83
- D(E_F) (states/eV/atom) = 0.032
- crystal system = tetragonal

POSCAR file:
```
BI
1.0
-0.696 3.857 -8.194
7.141 -4.821 -2.875
-3.375 -4.037 -1.614
B I
8 8
Cartesian
2.454 -1.959 -9.618 B
0.616 -3.042 -3.065 B
4.097 -4.779 -5.999 B
-1.027 -0.222 -6.684 B
2.338 1.283 -8.101 B
4.107 -2.247 -2.969 B
5.622 -1.796 -7.266 B
0.823 0.832 -3.804 B
0.628 -0.898 -8.454 I
2.443 -4.104 -4.229 I
3.555 -3.530 -7.990 I
-0.484 -1.471 -4.693 I
4.269 0.167 -9.345 I
2.177 -1.130 -1.724 I
6.208 -3.125 -5.165 I
0.238 2.161 -5.905 I
```

---

It is model i that is the least stable of them.

---

Model i:
First-principles (PBE) data for an optimized crystal structure of InB2I2, as listed in Alexandria via LeMat-Bulk.

- symmetry = I4/mmm, No. 139
- D(E_F) (states/eV/atom) = 0.548
- crystal system = tetragonal

POSCAR file:
```
InB2I2
1.0
-2.980 5.800 1.398
-5.945 -2.756 -1.240
-4.689 0.709 2.970
I B In
2 2 1
Cartesian
-6.066 4.015 2.223 I
-7.548 -0.263 0.904 I
-4.522 1.307 0.842 B
-9.092 2.445 2.285 B
0.000 0.000 0.000 In
```

---

Model ii:
First-principles (PBE) data for an optimized crystal structure of InB2I2, as listed in Alexandria via LeMat-Bulk.

- symmetry = P4/mbm, No. 127
- D(E_F) (states/eV/atom) = 0.427
- crystal system = tetragonal

POSCAR file:
```
InB2I2
1.0
-0.143 4.341 5.685
-5.886 -3.302 2.373
2.778 -3.165 2.486
I B In
4 4 2
Cartesian
-2.698 -3.037 3.959 I
-3.479 -1.264 7.087 I
-0.553 0.910 6.586 I
0.228 -0.862 3.457 I
-4.223 -1.431 2.898 B
-4.738 0.491 5.919 B
-1.805 2.469 5.160 B
-1.291 0.547 2.139 B
0.000 0.000 0.000 In
-3.014 0.519 4.029 In
```

---

It is model ii that is the least stable of them.

---

Model i:
First-principles (PBE) data for an optimized crystal structure of In2BI, as listed in Alexandria via LeMat-Bulk.

- symmetry = Fm-3m, No. 225
- D(E_F) (states/eV/atom) = 0.807
- crystal system = cubic

POSCAR file:
```
In2BI
1.0
0.000 3.775 3.775
3.775 0.000 3.775
3.775 3.775 0.000
I B In
1 1 2
Cartesian
3.775 3.775 3.775 I
0.000 0.000 0.000 B
1.887 1.887 1.887 In
5.662 5.662 5.662 In
```

---

Model ii:
First-principles (PBE) data for an optimized crystal structure of In2BI, as listed in Alexandria via LeMat-Bulk.

- symmetry = I-42d, No. 122
- D(E_F) (states/eV/atom) = 0.000
- crystal system = tetragonal

POSCAR file:
```
In2BI
1.0
6.440 0.000 0.000
0.000 6.440 0.000
3.220 3.220 5.623
I B In
2 2 4
Cartesian
0.000 0.000 0.000 I
6.440 3.220 2.812 I
3.220 3.220 0.000 B
3.220 6.440 2.812 B
3.881 1.610 1.406 In
2.558 4.830 1.406 In
4.830 5.778 4.217 In
8.050 7.101 4.217 In
```

---

It is model i that is the least stable of them.

---

Model i:
First-principles (PBE) data for an optimized crystal structure of InBI2N, as listed in Alexandria via LeMat-Bulk.

- symmetry = P4/mmm, No. 123
- D(E_F) (states/eV/atom) = 0.579
- crystal system = tetragonal

POSCAR file:
```
InBI2N
1.0
6.887 0.000 0.000
0.000 6.887 0.000
0.000 0.000 2.847
I B N In
2 1 1 1
Cartesian
0.000 3.444 0.000 I
3.444 0.000 0.000 I
0.000 0.000 0.000 B
0.000 0.000 1.424 N
3.444 3.444 1.424 In
```

---

Model ii:
First-principles (PBE) data for an optimized crystal structure of InBI2N, as listed in Alexandria via LeMat-Bulk.

- symmetry = P4/mmm, No. 123
- D(E_F) (states/eV/atom) = 0.620
- crystal system = tetragonal

POSCAR file:
```
InBI2N
1.0
6.008 0.000 0.000
0.000 6.008 0.000
0.000 0.000 4.170
I B N In
2 1 1 1
Cartesian
0.000 3.004 0.000 I
3.004 0.000 0.000 I
3.004 3.004 2.085 B
0.000 0.000 2.085 N
0.000 0.000 0.000 In
```

---

It is model ii that is the least stable of them.

---

Model i:
First-principles (PBE) data for an optimized crystal structure of InBSe2I, as listed in Alexandria via LeMat-Bulk.

- symmetry = P4/mmm, No. 123
- D(E_F) (states/eV/atom) = 0.792
- crystal system = tetragonal

POSCAR file:
```
InBSe2I
1.0
5.225 0.000 0.000
0.000 6.082 0.000
0.000 0.000 5.225
I B Se In
1 1 2 1
Cartesian
0.000 3.041 0.000 I
2.613 3.041 2.613 B
0.000 0.000 2.613 Se
2.613 0.000 0.000 Se
0.000 0.000 0.000 In
```

---

Model ii:
First-principles (PBE) data for an optimized crystal structure of InBSe2I, as listed in Alexandria via LeMat-Bulk.

- symmetry = P4/mmm, No. 123
- D(E_F) (states/eV/atom) = 0.555
- crystal system = tetragonal

POSCAR file:
```
InBSe2I
1.0
4.430 0.000 0.000
0.000 6.458 0.000
0.000 0.000 4.430
I B Se In
1 1 2 1
Cartesian
2.215 3.229 2.215 I
0.000 0.000 0.000 B
0.000 0.000 2.215 Se
2.215 0.000 0.000 Se
0.000 3.229 0.000 In
```

---

It is model i that is the least stable of them.

---

Model i:
First-principles (PBE) data for an optimized crystal structure of InBTeI2, as listed in Alexandria via LeMat-Bulk.

- symmetry = P4/mmm, No. 123
- D(E_F) (states/eV/atom) = 0.938
- crystal system = tetragonal

POSCAR file:
```
InBTeI2
1.0
5.354 0.000 0.000
0.000 5.354 0.000
0.000 0.000 5.059
I B Te In
2 1 1 1
Cartesian
0.000 2.677 0.000 I
2.677 0.000 0.000 I
0.000 0.000 0.000 B
0.000 0.000 2.529 Te
2.677 2.677 2.529 In
```

---

Model ii:
First-principles (PBE) data for an optimized crystal structure of InBTeI2, as listed in Alexandria via LeMat-Bulk.

- symmetry = P4/mmm, No. 123
- D(E_F) (states/eV/atom) = 0.682
- crystal system = tetragonal

POSCAR file:
```
InBTeI2
1.0
-5.811 0.212 -1.026
0.818 -2.692 -5.191
-0.646 -5.184 2.587
I B Te In
2 1 1 1
Cartesian
0.409 -1.346 -2.595 I
-2.905 0.106 -0.513 I
-2.819 -3.832 -1.815 B
-0.323 -2.592 1.294 Te
0.000 0.000 0.000 In
```

---

It is model ii that is the least stable of them.

---

Model i:
First-principles (PBE) data for an optimized crystal structure of InBTe2I, as listed in Alexandria via LeMat-Bulk.

- symmetry = P4/mmm, No. 123
- D(E_F) (states/eV/atom) = 1.218
- crystal system = tetragonal

POSCAR file:
```
InBTe2I
1.0
5.710 0.000 0.000
0.000 5.710 0.000
0.000 0.000 5.907
I B Te In
1 1 2 1
Cartesian
0.000 0.000 2.953 I
2.855 2.855 2.953 B
0.000 2.855 0.000 Te
2.855 0.000 0.000 Te
0.000 0.000 0.000 In
```

---

Model ii:
First-principles (PBE) data for an optimized crystal structure of InBTe2I, as listed in Alexandria via LeMat-Bulk.

- symmetry = P4/mmm, No. 123
- D(E_F) (states/eV/atom) = 0.527
- crystal system = tetragonal

POSCAR file:
```
InBTe2I
1.0
5.016 0.000 0.000
0.000 5.016 0.000
0.000 0.000 5.215
I B Te In
1 1 2 1
Cartesian
0.000 0.000 2.608 I
0.000 0.000 0.000 B
0.000 2.508 0.000 Te
2.508 0.000 0.000 Te
2.508 2.508 2.608 In
```

---

It is model i that is the least stable of them.

---

Model i:
First-principles (PBE) data for an optimized crystal structure of BIrI2, as listed in Alexandria via LeMat-Bulk.

- symmetry = Fm-3m, No. 225
- D(E_F) (states/eV/atom) = 1.137
- crystal system = cubic

POSCAR file:
```
BIrI2
1.0
0.000 3.436 3.436
3.436 0.000 3.436
3.436 3.436 0.000
I B Ir
2 1 1
Cartesian
1.718 1.718 1.718 I
5.154 5.154 5.154 I
0.000 0.000 0.000 B
3.436 3.436 3.436 Ir
```

---

Model ii:
First-principles (PBE) data for an optimized crystal structure of BIrI2, as listed in Alexandria via LeMat-Bulk.

- symmetry = I-42d, No. 122
- D(E_F) (states/eV/atom) = 0.316
- crystal system = tetragonal

POSCAR file:
```
BIrI2
1.0
5.733 0.000 0.000
0.000 5.733 0.000
2.867 2.867 5.994
I B Ir
4 2 2
Cartesian
4.191 1.433 1.498 I
1.542 4.300 1.498 I
4.300 4.409 4.495 I
7.166 7.058 4.495 I
2.867 2.867 0.000 B
2.867 5.733 2.997 B
0.000 0.000 0.000 Ir
5.733 2.867 2.997 Ir
```

---

It is model i that is the least stable of them.

---

Model i:
First-principles (PBE) data for an optimized crystal structure of BIrIN2, as listed in Alexandria via LeMat-Bulk.

- symmetry = P4/mmm, No. 123
- D(E_F) (states/eV/atom) = 0.668
- crystal system = tetragonal

POSCAR file:
```
BIrIN2
1.0
3.455 0.000 0.000
0.000 3.455 0.000
0.000 0.000 8.012
I B Ir N
1 1 1 2
Cartesian
0.000 0.000 4.006 I
0.000 0.000 0.000 B
1.727 1.727 4.006 Ir
0.000 1.727 0.000 N
1.727 0.000 0.000 N
```

---

Model ii:
First-principles (PBE) data for an optimized crystal structure of BIrIN2, as listed in Alexandria via LeMat-Bulk.

- symmetry = P4/mmm, No. 123
- D(E_F) (states/eV/atom) = 0.723
- crystal system = tetragonal

POSCAR file:
```
BIrIN2
1.0
3.725 0.000 0.000
0.000 3.725 0.000
0.000 0.000 8.583
I B Ir N
1 1 1 2
Cartesian
0.000 0.000 4.291 I
1.862 1.862 4.291 B
0.000 0.000 0.000 Ir
0.000 1.862 0.000 N
1.862 0.000 0.000 N
```

---

It is model i that is the least stable of them.

---

Model i:
First-principles (PBE) data for an optimized crystal structure of BIrI2O, as listed in Alexandria via LeMat-Bulk.

- symmetry = P4/mmm, No. 123
- D(E_F) (states/eV/atom) = 0.439
- crystal system = tetragonal

POSCAR file:
```
BIrI2O
1.0
-0.536 -5.318 -0.668
5.343 -0.477 -0.492
0.232 -0.387 2.893
I B Ir O
2 1 1 1
Cartesian
2.671 -0.238 -0.246 I
-0.268 -2.659 -0.334 I
0.000 0.000 0.000 B
2.519 -3.091 0.866 Ir
0.116 -0.193 1.446 O
```

---

Model ii:
First-principles (PBE) data for an optimized crystal structure of BIrI2O, as listed in Alexandria via LeMat-Bulk.

- symmetry = P4/mmm, No. 123
- D(E_F) (states/eV/atom) = 0.502
- crystal system = tetragonal

POSCAR file:
```
BIrI2O
1.0
5.604 0.000 0.000
0.000 5.604 0.000
0.000 0.000 3.745
I B Ir O
2 1 1 1
Cartesian
0.000 2.802 0.000 I
2.802 0.000 0.000 I
2.802 2.802 1.873 B
0.000 0.000 0.000 Ir
0.000 0.000 1.873 O
```

---

It is model ii that is the least stable of them.

---

Model i:
First-principles (PBE) data for an optimized crystal structure of BSbIrI2, as listed in Alexandria via LeMat-Bulk.

- symmetry = P4/mmm, No. 123
- D(E_F) (states/eV/atom) = 1.022
- crystal system = tetragonal

POSCAR file:
```
BSbIrI2
1.0
-1.814 -4.123 -1.643
-1.269 -1.219 4.460
-4.302 2.147 -0.638
I Sb B Ir
2 1 1 1
Cartesian
-0.635 -0.609 2.230 I
-0.907 -2.061 -0.822 I
-2.151 1.073 -0.319 Sb
0.000 0.000 0.000 B
-3.693 -1.598 1.089 Ir
```

---

Model ii:
First-principles (PBE) data for an optimized crystal structure of BSbIrI2, as listed in Alexandria via LeMat-Bulk.

- symmetry = P4/mmm, No. 123
- D(E_F) (states/eV/atom) = 0.472
- crystal system = tetragonal

POSCAR file:
```
BSbIrI2
1.0
-2.314 2.209 4.682
0.582 -4.985 2.640
4.479 1.356 1.574
I Sb B Ir
2 1 1 1
Cartesian
0.291 -2.492 1.320 I
-1.157 1.104 2.341 I
2.240 0.678 0.787 Sb
1.374 -0.710 4.448 B
0.000 0.000 0.000 Ir
```

---

It is model i that is the least stable of them.

---

Model i:
First-principles (PBE) data for an optimized crystal structure of BSb2IrI, as listed in Alexandria via LeMat-Bulk.

- symmetry = P4/mmm, No. 123
- D(E_F) (states/eV/atom) = 1.018
- crystal system = tetragonal

POSCAR file:
```
BSb2IrI
1.0
-2.812 3.674 -2.114
-3.022 0.041 4.091
3.389 4.012 2.463
I Sb B Ir
1 2 1 1
Cartesian
1.695 2.006 1.232 I
-1.511 0.020 2.046 Sb
-1.406 1.837 -1.057 Sb
-1.222 3.863 2.220 B
0.000 0.000 0.000 Ir
```

---

Model ii:
First-principles (PBE) data for an optimized crystal structure of BSb2IrI, as listed in Alexandria via LeMat-Bulk.

- symmetry = P4/mmm, No. 123
- D(E_F) (states/eV/atom) = 0.574
- crystal system = tetragonal

POSCAR file:
```
BSb2IrI
1.0
4.690 0.000 0.000
0.000 4.690 0.000
0.000 0.000 4.737
I Sb B Ir
1 2 1 1
Cartesian
0.000 0.000 2.369 I
0.000 2.345 0.000 Sb
2.345 0.000 0.000 Sb
0.000 0.000 0.000 B
2.345 2.345 2.369 Ir
```

---

It is model i that is the least stable of them.